Model w:
# PBE-GGA LiGdLu2, relaxed
data_LiGdLu2
_space_group_name_H-M_alt 'P 4/m m m'
_space_group_IT_number 123
_space_group_name_Hall '-P 4 2'
_cell_length_a 3.5541
_cell_length_b 3.5541
_cell_length_c 8.6751
_cell_angle_alpha 90.00
_cell_angle_beta 90.00
_cell_angle_gamma 90.00
loop_
_atom_site_label
_atom_site_type_symbol
_atom_site_fract_x
_atom_site_fract_y
_atom_site_fract_z
Li1 Li 0.0000 0.0000 0.0000
Gd1 Gd 0.0000 0.0000 0.5000
Lu1 Lu 0.5000 0.5000 0.2177
# Density ... 7.79 g cm⁻³

---

Model x:
# PBE-GGA LiGdLu2, relaxed
data_LiGdLu2
_space_group_name_H-M_alt 'P 4/m m m'
_space_group_IT_number 123
_space_group_name_Hall '-P 4 2'
_cell_length_a 5.5011
_cell_length_b 5.5011
_cell_length_c 3.7088
_cell_angle_alpha 90.00
_cell_angle_beta 90.00
_cell_angle_gamma 90.00
loop_
_atom_site_label
_atom_site_type_symbol
_atom_site_fract_x
_atom_site_fract_y
_atom_site_fract_z
Li1 Li 0.0000 0.0000 0.0000
Gd1 Gd 0.5000 0.5000 0.0000
Lu1 Lu 0.0000 0.5000 0.5000
# Density ... 7.61 g cm⁻³

---

So which one is most stable? That would be model w, about 9.4 kJ/mol of atoms below the next structure.

---

Model w:
# PBE-GGA LiGdMg2, relaxed
data_LiGdMg2
_space_group_name_H-M_alt 'F m -3 m'
_space_group_IT_number 225
_space_group_name_Hall '-F 4 2 3'
_cell_length_a 7.3415
_cell_length_b 7.3415
_cell_length_c 7.3415
_cell_angle_alpha 90.00
_cell_angle_beta 90.00
_cell_angle_gamma 90.00
loop_
_atom_site_label
_atom_site_type_symbol
_atom_site_fract_x
_atom_site_fract_y
_atom_site_fract_z
Li1 Li 0.0000 0.0000 0.0000
Gd1 Gd 0.0000 0.0000 0.5000
Mg1 Mg 0.2500 0.2500 0.2500
# Density ... 3.57 g cm⁻³

---

Model x:
# PBE-GGA LiGdMg2, relaxed
data_LiGdMg2
_space_group_name_H-M_alt 'P 4/m m m'
_space_group_IT_number 123
_space_group_name_Hall '-P 4 2'
_cell_length_a 5.3687
_cell_length_b 5.3687
_cell_length_c 3.6036
_cell_angle_alpha 90.00
_cell_angle_beta 90.00
_cell_angle_gamma 90.00
loop_
_atom_site_label
_atom_site_type_symbol
_atom_site_fract_x
_atom_site_fract_y
_atom_site_fract_z
Li1 Li 0.0000 0.0000 0.0000
Gd1 Gd 0.5000 0.5000 0.0000
Mg1 Mg 0.0000 0.5000 0.5000
# Density ... 3.40 g cm⁻³

---

So which one is most stable? That would be model w, about 0.8 kJ/mol of atoms below the next structure.

---

Model w:
# PBE-GGA LiNdGd2, relaxed
data_LiNdGd2
_space_group_name_H-M_alt 'F m -3 m'
_space_group_IT_number 225
_space_group_name_Hall '-F 4 2 3'
_cell_length_a 7.8693
_cell_length_b 7.8693
_cell_length_c 7.8693
_cell_angle_alpha 90.00
_cell_angle_beta 90.00
_cell_angle_gamma 90.00
loop_
_atom_site_label
_atom_site_type_symbol
_atom_site_fract_x
_atom_site_fract_y
_atom_site_fract_z
Li1 Li 0.0000 0.0000 0.0000
Nd1 Nd 0.0000 0.0000 0.5000
Gd1 Gd 0.2500 0.2500 0.2500
# Density ... 6.35 g cm⁻³

---

Model x:
# PBE-GGA LiNdGd2, relaxed
data_LiNdGd2
_space_group_name_H-M_alt 'R -3 m'
_space_group_IT_number 166
_space_group_name_Hall '-R 3 2"'
_cell_length_a 3.5093
_cell_length_b 3.5093
_cell_length_c 36.7687
_cell_angle_alpha 90.00
_cell_angle_beta 90.00
_cell_angle_gamma 120.00
loop_
_atom_site_label
_atom_site_type_symbol
_atom_site_fract_x
_atom_site_fract_y
_atom_site_fract_z
Li1 Li 0.0000 0.0000 0.0000
Nd1 Nd 0.0000 0.0000 0.5000
Gd1 Gd 0.0000 0.0000 0.0877
# Density ... 5.92 g cm⁻³

---

Model y:
# PBE-GGA LiNdGd2, relaxed
data_LiNdGd2
_space_group_name_H-M_alt 'P 4/m m m'
_space_group_IT_number 123
_space_group_name_Hall '-P 4 2'
_cell_length_a 5.7234
_cell_length_b 5.7234
_cell_length_c 3.7036
_cell_angle_alpha 90.00
_cell_angle_beta 90.00
_cell_angle_gamma 90.00
loop_
_atom_site_label
_atom_site_type_symbol
_atom_site_fract_x
_atom_site_fract_y
_atom_site_fract_z
Li1 Li 0.0000 0.0000 0.0000
Nd1 Nd 0.5000 0.5000 0.0000
Gd1 Gd 0.0000 0.5000 0.5000
# Density ... 6.37 g cm⁻³

---

Model z:
# PBE-GGA LiNdGd2, relaxed
data_LiNdGd2
_space_group_name_H-M_alt 'P 4/m m m'
_space_group_IT_number 123
_space_group_name_Hall '-P 4 2'
_cell_length_a 3.6639
_cell_length_b 3.6639
_cell_length_c 8.8991
_cell_angle_alpha 90.00
_cell_angle_beta 90.00
_cell_angle_gamma 90.00
loop_
_atom_site_label
_atom_site_type_symbol
_atom_site_fract_x
_atom_site_fract_y
_atom_site_fract_z
Li1 Li 0.0000 0.0000 0.0000
Nd1 Nd 0.0000 0.0000 0.5000
Gd1 Gd 0.5000 0.5000 0.2184
# Density ... 6.47 g cm⁻³

---

So which one is most stable? That would be model z, about 7.4 kJ/mol of atoms below the next structure.

---

Model w:
# PBE-GGA Li2NdGd, relaxed
data_Li2NdGd
_space_group_name_H-M_alt 'P 4/m m m'
_space_group_IT_number 123
_space_group_name_Hall '-P 4 2'
_cell_length_a 5.3632
_cell_length_b 5.3632
_cell_length_c 3.7348
_cell_angle_alpha 90.00
_cell_angle_beta 90.00
_cell_angle_gamma 90.00
loop_
_atom_site_label
_atom_site_type_symbol
_atom_site_fract_x
_atom_site_fract_y
_atom_site_fract_z
Li1 Li 0.0000 0.5000 0.0000
Nd1 Nd 0.0000 0.0000 0.5000
Gd1 Gd 0.5000 0.5000 0.5000
# Density ... 4.87 g cm⁻³

---

Model x:
# PBE-GGA Li2NdGd, relaxed
data_Li2NdGd
_space_group_name_H-M_alt 'R -3 m'
_space_group_IT_number 166
_space_group_name_Hall '-R 3 2"'
_cell_length_a 3.3688
_cell_length_b 3.3688
_cell_length_c 35.9951
_cell_angle_alpha 90.00
_cell_angle_beta 90.00
_cell_angle_gamma 120.00
loop_
_atom_site_label
_atom_site_type_symbol
_atom_site_fract_x
_atom_site_fract_y
_atom_site_fract_z
Li1 Li 0.0000 0.0000 0.0878
Nd1 Nd 0.0000 0.0000 0.5000
Gd1 Gd 0.0000 0.0000 0.0000
# Density ... 4.44 g cm⁻³

---

So which one is most stable? That would be model w, about 13.9 kJ/mol of atoms below the next structure.

---

Model w:
# PBE-GGA LiNd2Gd, relaxed
data_LiNd2Gd
_space_group_name_H-M_alt 'P 4/m m m'
_space_group_IT_number 123
_space_group_name_Hall '-P 4 2'
_cell_length_a 3.6804
_cell_length_b 3.6804
_cell_length_c 9.1192
_cell_angle_alpha 90.00
_cell_angle_beta 90.00
_cell_angle_gamma 90.00
loop_
_atom_site_label
_atom_site_type_symbol
_atom_site_fract_x
_atom_site_fract_y
_atom_site_fract_z
Li1 Li 0.0000 0.0000 0.0000
Nd1 Nd 0.5000 0.5000 0.2273
Gd1 Gd 0.0000 0.0000 0.5000
# Density ... 6.09 g cm⁻³

---

Model x:
# PBE-GGA LiNd2Gd, relaxed
data_LiNd2Gd
_space_group_name_H-M_alt 'F m -3 m'
_space_group_IT_number 225
_space_group_name_Hall '-F 4 2 3'
_cell_length_a 7.9237
_cell_length_b 7.9237
_cell_length_c 7.9237
_cell_angle_alpha 90.00
_cell_angle_beta 90.00
_cell_angle_gamma 90.00
loop_
_atom_site_label
_atom_site_type_symbol
_atom_site_fract_x
_atom_site_fract_y
_atom_site_fract_z
Li1 Li 0.0000 0.0000 0.0000
Nd1 Nd 0.2500 0.2500 0.2500
Gd1 Gd 0.0000 0.0000 0.5000
# Density ... 6.04 g cm⁻³

---

So which one is most stable? That would be model w, about 9.7 kJ/mol of atoms below the next structure.

---

Model w:
# PBE-GGA LiGdNi2, relaxed
data_LiGdNi2
_space_group_name_H-M_alt 'P 4/m m m'
_space_group_IT_number 123
_space_group_name_Hall '-P 4 2'
_cell_length_a 4.0848
_cell_length_b 4.0848
_cell_length_c 3.7827
_cell_angle_alpha 90.00
_cell_angle_beta 90.00
_cell_angle_gamma 90.00
loop_
_atom_site_label
_atom_site_type_symbol
_atom_site_fract_x
_atom_site_fract_y
_atom_site_fract_z
Li1 Li 0.0000 0.0000 0.0000
Gd1 Gd 0.5000 0.5000 0.0000
Ni1 Ni 0.0000 0.5000 0.5000
# Density ... 7.41 g cm⁻³

---

Model x:
# PBE-GGA LiGdNi2, relaxed
data_LiGdNi2
_space_group_name_H-M_alt 'R -3 m'
_space_group_IT_number 166
_space_group_name_Hall '-R 3 2"'
_cell_length_a 4.1119
_cell_length_b 4.1119
_cell_length_c 13.7373
_cell_angle_alpha 90.00
_cell_angle_beta 90.00
_cell_angle_gamma 120.00
loop_
_atom_site_label
_atom_site_type_symbol
_atom_site_fract_x
_atom_site_fract_y
_atom_site_fract_z
Li1 Li 0.0000 0.0000 0.0000
Gd1 Gd 0.0000 0.0000 0.5000
Ni1 Ni 0.0000 0.0000 0.2988
# Density ... 6.97 g cm⁻³

---

So which one is most stable? That would be model x, about 4.8 kJ/mol of atoms below the next structure.